Computed, not measured: CrCdIn2 at its PBEsol-relaxed geometry at the meta-GGA SCAN level of DFT.

```
data_CrCdIn2
_chemical_formula_sum 'Cr1 Cd1 In2'
_symmetry_space_group_name_H-M 'P 1'
_symmetry_Int_Tables_number 1
_cell_length_a 3.174
_cell_length_b 5.126
_cell_length_c 5.126
_cell_angle_alpha 107.66
_cell_angle_beta 90.00
_cell_angle_gamma 90.00
loop_
_symmetry_equiv_pos_as_xyz
'x,y,z'
loop_
_atom_site_label
_atom_site_fract_x
_atom_site_fract_y
_atom_site_fract_z
Cd1 0.500 0.000 0.000
Cr1 0.500 0.500 0.500
In1 0.000 0.500 0.000
In2 0.000 0.000 0.500
```

Properties
Calculated total energy in Ry per atom: -2.1129

Computed, not measured: FeP2Ir at its PBEsol-relaxed geometry at the meta-GGA SCAN level of DFT.

```
data_FeP2Ir
_chemical_formula_sum 'Fe1 P2 Ir1'
_symmetry_space_group_name_H-M 'P 1'
_symmetry_Int_Tables_number 1
_cell_length_a 3.210
_cell_length_b 3.210
_cell_length_c 4.815
_cell_angle_alpha 90.00
_cell_angle_beta 90.00
_cell_angle_gamma 90.00
loop_
_symmetry_equiv_pos_as_xyz
'x,y,z'
loop_
_atom_site_label
_atom_site_fract_x
_atom_site_fract_y
_atom_site_fract_z
Fe1 0.000 0.000 0.433
Ir1 0.500 0.500 0.803
P1 0.000 0.000 0.960
P2 0.500 0.500 0.305
```

Properties
Calculated total energy in Ry per atom: -2.0376

Computed, not measured: LaAlCd at its PBEsol-relaxed geometry at the meta-GGA SCAN level of DFT.

```
data_LaAlCd
_chemical_formula_sum 'La1 Al1 Cd1'
_symmetry_space_group_name_H-M 'P 1'
_symmetry_Int_Tables_number 1
_cell_length_a 4.883
_cell_length_b 4.883
_cell_length_c 4.883
_cell_angle_alpha 60.00
_cell_angle_beta 60.00
_cell_angle_gamma 60.00
loop_
_symmetry_equiv_pos_as_xyz
'x,y,z'
loop_
_atom_site_label
_atom_site_fract_x
_atom_site_fract_y
_atom_site_fract_z
Cd1 0.250 0.250 0.250
Al1 0.500 0.500 0.500
La1 0.000 0.000 0.000
```

Properties
Calculated total energy in Ry per atom: -2.0140

Computed, not measured: TiZnN2O at its PBEsol-relaxed geometry at the meta-GGA SCAN level of DFT.

```
data_TiZnN2O
_chemical_formula_sum 'Ti1 Zn1 N2 O1'
_symmetry_space_group_name_H-M 'P 1'
_symmetry_Int_Tables_number 1
_cell_length_a 3.686
_cell_length_b 3.712
_cell_length_c 3.712
_cell_angle_alpha 90.00
_cell_angle_beta 90.00
_cell_angle_gamma 90.00
loop_
_symmetry_equiv_pos_as_xyz
'x,y,z'
loop_
_atom_site_label
_atom_site_fract_x
_atom_site_fract_y
_atom_site_fract_z
Zn1 0.000 0.000 0.000
N1 0.000 0.000 0.500
N2 0.000 0.500 0.000
O1 0.500 0.000 0.000
Ti1 0.500 0.500 0.500
```

Properties
Energy relative to the elements, uncorrected in meV/atom: 411
Calculated total energy in Ry per atom: -0.7689